Entry from Alexandria via LeMat-Bulk: BaMg2In after structural relaxation (GGA-PBE).

a = 4.8103 Å, b = 4.8103 Å, c = 11.4478 Å
α = 90.00°, β = 90.00°, γ = 90.00°
Last column: nearest neighbours and their distance in Å.
Element x y z (fractional)
Ba (0.5000, 0.0000, 0.2402)  4 In 3.61, 9 Mg 3.62-3.89
Ba (0.0000, 0.5000, 0.7598)  4 In 3.61, 9 Mg 3.62-3.89
Mg (0.5000, 0.0000, 0.9243)  1 In 3.09
Mg (0.0000, 0.5000, 0.0757)  1 In 3.09
Mg (0.0000, 0.0000, 0.5000)  4 In 2.99
Mg (0.5000, 0.5000, 0.5000)  4 In 2.99
In (0.5000, 0.0000, 0.6545)  5 Mg 2.99-3.09
In (0.0000, 0.5000, 0.3455)  5 Mg 2.99-3.09

Calculated values
formation energy from the elements: -172 meV/atom
energy: -2.135 eV/atom

---

Entry from Alexandria via LeMat-Bulk: SmBi2Pd9 after structural relaxation (GGA-PBE).

a = 4.1542 Å, b = 4.1542 Å, c = 12.4185 Å
α = 90.00°, β = 90.00°, γ = 90.00°
Last column: nearest neighbours and their distance in Å.
Element x y z (fractional)
Sm (0.0000, 0.0000, 0.0000)  12 Pd 2.94-2.95
Bi (0.0000, 0.0000, 0.3323)  12 Pd 2.90-2.94
Bi (0.0000, 0.0000, 0.6677)  12 Pd 2.90-2.94
Pd (0.5000, 0.5000, 0.0000)  4 Sm 2.94, 8 Pd 2.95
Pd (0.5000, 0.5000, 0.3378)  8 Pd 2.89-2.95, 4 Bi 2.94
Pd (0.5000, 0.5000, 0.6622)  8 Pd 2.89-2.95, 4 Bi 2.94
Pd (0.5000, 0.0000, 0.1692)  2 Bi 2.90, 8 Pd 2.94-2.95, 2 Sm 2.95
Pd (0.5000, 0.0000, 0.5000)  8 Pd 2.89-2.94, 4 Bi 2.94
Pd (0.5000, 0.0000, 0.8308)  2 Bi 2.90, 8 Pd 2.94-2.95, 2 Sm 2.95
Pd (0.0000, 0.5000, 0.1692)  2 Bi 2.90, 8 Pd 2.94-2.95, 2 Sm 2.95
Pd (0.0000, 0.5000, 0.5000)  8 Pd 2.89-2.94, 4 Bi 2.94
Pd (0.0000, 0.5000, 0.8308)  2 Bi 2.90, 8 Pd 2.94-2.95, 2 Sm 2.95

Calculated values
formation energy from the elements: -430 meV/atom
energy: -5.364 eV/atom

---

Entry from Alexandria via LeMat-Bulk: CeNbAs2N after structural relaxation (GGA-PBE).

a = 3.7045 Å, b = 3.7045 Å, c = 13.9941 Å
α = 90.00°, β = 90.00°, γ = 90.00°
Last column: nearest neighbours and their distance in Å.
Element x y z (fractional)
Ce (0.5000, 0.0000, 0.5881)  4 N 2.23
Ce (0.0000, 0.5000, 0.4118)  4 N 2.23
Nb (0.5000, 0.0000, 0.0751)  6 As 2.69-2.75
Nb (0.0000, 0.5000, 0.9249)  6 As 2.69-2.75
As (0.0000, 0.5000, 0.7327)  1 Nb 2.69
As (0.0000, 0.5000, 0.1212)  5 Nb 2.70-2.75
As (0.5000, 0.0000, 0.8788)  5 Nb 2.70-2.75
As (0.5000, 0.0000, 0.2673)  1 Nb 2.69
N (0.0000, 0.0000, 0.5000)  4 Ce 2.23
N (0.5000, 0.5000, 0.5000)  4 Ce 2.23

Calculated values
E_form (uncorrected): -70.6 kJ per mole of atoms
energy: -7.458 eV/atom

---

Copy entry 2 word for word.
Entry from Alexandria via LeMat-Bulk: SmBi2Pd9 after structural relaxation (GGA-PBE).

a = 4.1542 Å, b = 4.1542 Å, c = 12.4185 Å
α = 90.00°, β = 90.00°, γ = 90.00°
Last column: nearest neighbours and their distance in Å.
Element x y z (fractional)
Sm (0.0000, 0.0000, 0.0000)  12 Pd 2.94-2.95
Bi (0.0000, 0.0000, 0.3323)  12 Pd 2.90-2.94
Bi (0.0000, 0.0000, 0.6677)  12 Pd 2.90-2.94
Pd (0.5000, 0.5000, 0.0000)  4 Sm 2.94, 8 Pd 2.95
Pd (0.5000, 0.5000, 0.3378)  8 Pd 2.89-2.95, 4 Bi 2.94
Pd (0.5000, 0.5000, 0.6622)  8 Pd 2.89-2.95, 4 Bi 2.94
Pd (0.5000, 0.0000, 0.1692)  2 Bi 2.90, 8 Pd 2.94-2.95, 2 Sm 2.95
Pd (0.5000, 0.0000, 0.5000)  8 Pd 2.89-2.94, 4 Bi 2.94
Pd (0.5000, 0.0000, 0.8308)  2 Bi 2.90, 8 Pd 2.94-2.95, 2 Sm 2.95
Pd (0.0000, 0.5000, 0.1692)  2 Bi 2.90, 8 Pd 2.94-2.95, 2 Sm 2.95
Pd (0.0000, 0.5000, 0.5000)  8 Pd 2.89-2.94, 4 Bi 2.94
Pd (0.0000, 0.5000, 0.8308)  2 Bi 2.90, 8 Pd 2.94-2.95, 2 Sm 2.95

Calculated values
formation energy from the elements: -430 meV/atom
energy: -5.364 eV/atom

---

- Which formula does entry 3 have?
  CeNbAs2N